VFeBi2F | PBE with a Hubbard U | optimized geometry

```
VFeBi2F
1.0
-5.156 -0.526 0.249
0.493 -2.945 3.977
-0.273 4.148 3.105
V F Fe Bi
1 1 1 2
Cartesian
0.000 0.000 0.000
-2.468 0.339 3.666
0.246 -1.473 1.988
-0.136 2.074 1.553
-2.578 -0.263 0.125
```

Summary:
DOS at the Fermi energy, states/eV per cell: 1.44
Symmetry: P4/mmm (123)
Final energy, eV per atom: -3.941